Density functional theory data (PBE) for crystalline KRuSe2 at its relaxed geometry.

Summary:
The calculation puts the raw formation energy at -0.514 eV/atom. The value obtained for the density of states at the Fermi level is 12.15 states/eV per cell. As for the total energy: -0.17822 Ha/atom. Its crystal system is trigonal.

Unit cell a=3.9125 b=3.9125 c=21.0748 alpha=90.00 beta=90.00 gamma=120.00
With the nearest neighbours (Å) after each atom.
Space group R-3m (No. 166, hexagonal axes)
Asymmetric unit:
K  0.0000  0.0000  0.0000 [3 per cell]  6 Se 3.24
Ru  0.0000  0.0000  0.5000 [3 per cell]  6 Se 2.55
Se  0.0000  0.0000  0.2230 [6 per cell]  3 Ru 2.55

=====

Density functional theory data (PBE) for crystalline NaLaNdLu at its relaxed geometry.

Summary:
The value obtained for the density of states at the Fermi level is 19.61 states/eV per cell. As for the total energy: -0.13381 Ha/atom. As for the formation energy: 0.243 eV per atom. Its crystal system is cubic.

Unit cell a=8.1385 b=8.1385 c=8.1385 alpha=90.00 beta=90.00 gamma=90.00
With the nearest neighbours (Å) after each atom.
Space group F-43m (No. 216)
Asymmetric unit:
Na  0.0000  0.0000  0.0000 [4 per cell]  4 La 3.52, 4 Nd 3.52
La  0.2500  0.2500  0.7500 [4 per cell]  4 Na 3.52, 4 Lu 3.52
Nd  0.2500  0.2500  0.2500 [4 per cell]  4 Na 3.52, 4 Lu 3.52
Lu  0.0000  0.0000  0.5000 [4 per cell]  4 La 3.52, 4 Nd 3.52

=====

Density functional theory data (PBE) for crystalline TbCe2Tl2Zn2 at its relaxed geometry.

Summary:
The value obtained for the density of states at the Fermi level is 34.26 states/eV per cell. As for the total energy: -0.13053 Ha/atom. As for the formation energy: -0.155 eV per atom. Its crystal system is trigonal.

Unit cell a=4.5957 b=4.5957 c=27.8035 alpha=90.00 beta=90.00 gamma=120.00
With the nearest neighbours (Å) after each atom.
Space group R-3m (No. 166, hexagonal axes)
Asymmetric unit:
Tb  0.0000  0.0000  0.0000 [3 per cell]  6 Tl 3.18
Ce  0.0000  0.0000  0.1438 [6 per cell]  3 Ce 2.94, 3 Zn 3.09
Tl  0.0000  0.0000  0.2703 [6 per cell]  3 Zn 2.73
Zn  0.0000  0.0000  0.4199 [6 per cell]  3 Tl 2.73

=====

Density functional theory data (PBE) for crystalline SnP2OsS at its relaxed geometry.

Summary:
The calculation puts the polymorph energy (0 for the lowest one) at 0.0000 eV/atom. The calculation puts the raw formation energy at 0.424 eV/atom. The value obtained for the density of states at the Fermi level is 3.04 states/eV per cell. As for the total energy: -0.20625 Ha/atom. Its crystal system is tetragonal.

Unit cell a=4.4807 b=4.4807 c=5.3400 alpha=90.00 beta=90.00 gamma=90.00
With the nearest neighbours (Å) after each atom.
Space group P4/mmm (No. 123)
Asymmetric unit:
Sn  0.0000  0.0000  0.0000 [1 per cell]  4 S 3.17, 8 P 3.49
P  0.0000  0.5000  0.5000 [2 per cell]  2 Os 2.24
Os  0.5000  0.5000  0.5000 [1 per cell]  4 P 2.24
S  0.5000  0.5000  0.0000 [1 per cell]  2 Os 2.67

=====

Density functional theory data (PBE) for crystalline Ba2PdC at its relaxed geometry.

Summary:
The value obtained for the density of states at the Fermi level is 11.59 states/eV per cell. As for the total energy: -0.14413 Ha/atom. As for the formation energy: 0.644 eV per atom. Its crystal system is tetragonal.

Unit cell a=7.8243 b=7.8243 c=8.5845 alpha=90.00 beta=90.00 gamma=90.00
With the nearest neighbours (Å) after each atom.
Space group I-42d (No. 122)
Asymmetric unit:
Ba  0.2109  0.2500  0.1250 [8 per cell]  2 C 2.77
Pd  0.0000  0.0000  0.5000 [4 per cell]  4 Ba 3.18
C  0.0000  0.0000  0.0000 [4 per cell]  4 Ba 2.77

=====

Density functional theory data (PBE) for crystalline Sc2MoCl at its relaxed geometry.

Summary:
The calculation puts the polymorph energy (0 for the lowest one) at 0.3978 eV/atom. The calculation puts the raw formation energy at -0.149 eV/atom. The value obtained for the density of states at the Fermi level is 8.03 states/eV per cell. As for the total energy: -0.23830 Ha/atom. Its crystal system is monoclinic.

Unit cell a=7.2351 b=7.0707 c=3.0848 alpha=90.00 beta=101.63 gamma=90.00
With the nearest neighbours (Å) after each atom.
Space group C2/m (No. 12)
Asymmetric unit:
Sc  0.2500  0.2500  0.0000 [4 per cell]  2 Cl 2.77, 2 Mo 2.77, 2 Sc 3.08
Mo  0.0000  0.0000  0.5000 [2 per cell]  4 Sc 2.77, 2 Mo 3.08
Cl  0.0000  0.5000  0.5000 [2 per cell]  4 Sc 2.77, 2 Cl 3.08

=====

Density functional theory data (PBE) for crystalline EuScPbAu at its relaxed geometry.

Summary:
The value obtained for the density of states at the Fermi level is 28.49 states/eV per cell. As for the total energy: -0.23682 Ha/atom. As for the formation energy: -0.546 eV per atom. Its crystal system is cubic.

Unit cell a=7.4038 b=7.4038 c=7.4038 alpha=90.00 beta=90.00 gamma=90.00
With the nearest neighbours (Å) after each atom.
Space group F-43m (No. 216)
Asymmetric unit:
Eu  0.0000  0.0000  0.0000 [4 per cell]  4 Pb 3.21, 4 Au 3.21
Sc  0.0000  0.0000  0.5000 [4 per cell]  4 Au 3.21, 4 Pb 3.21
Pb  0.2500  0.2500  0.2500 [4 per cell]  4 Sc 3.21, 4 Eu 3.21
Au  0.2500  0.2500  0.7500 [4 per cell]  4 Sc 3.21, 4 Eu 3.21

=====

Density functional theory data (PBE) for crystalline Hg12Te3Se5 at its relaxed geometry.

Summary:
The calculation puts the raw formation energy at 0.009 eV/atom. The value obtained for the density of states at the Fermi level is 70.98 states/eV per cell. As for the total energy: -0.05567 Ha/atom. Its crystal system is cubic.

Unit cell a=17.0883 b=17.0883 c=17.0883 alpha=90.00 beta=90.00 gamma=90.00
With the nearest neighbours (Å) after each atom.
Space group Ia-3d (No. 230)
Asymmetric unit:
Hg  0.0316  0.0790  0.6465 [96 per cell]  2 Se 2.74-2.90, 1 Te 2.99
Te  0.0000  0.2500  0.1250 [24 per cell]  4 Hg 2.99
Se  0.0000  0.0000  0.0000 [16 per cell]  6 Hg 2.90
Se  0.0000  0.2500  0.3750 [24 per cell]  4 Hg 2.74

=====

Density functional theory data (PBE) for crystalline Ti2Zn4Pd at its relaxed geometry.

Summary:
The calculation puts the polymorph energy (0 for the lowest one) at 0.1019 eV/atom. The value obtained for the density of states at the Fermi level is 19.57 states/eV per cell. As for the total energy: -0.13653 Ha/atom. As for the formation energy: 0.010 eV per atom. Its crystal system is orthorhombic.

Unit cell a=8.9898 b=5.1397 c=9.6580 alpha=90.00 beta=90.00 gamma=90.00
With the nearest neighbours (Å) after each atom.
Space group Cmce (No. 64)
Asymmetric unit:
Ti  0.1654  0.0000  0.0000 [8 per cell]  6 Zn 2.70-3.02, 3 Pd 2.97-3.01, 3 Ti 2.97-2.99
Zn  0.0000  0.1159  0.2378 [8 per cell]  6 Zn 2.48-2.72, 1 Pd 2.60
Zn  0.2500  0.1802  0.7500 [8 per cell]  6 Zn 2.48-2.72, 2 Ti 2.70
Pd  0.0000  0.0000  0.5000 [4 per cell]  2 Zn 2.60

=====

Density functional theory data (PBE) for crystalline PmScGeO5 at its relaxed geometry.

Summary:
The calculation puts the raw formation energy at -2.835 eV/atom. The value obtained for the density of states at the Fermi level is 0.00 states/eV per cell. As for the total energy: -0.29019 Ha/atom. Its crystal system is monoclinic.

Unit cell a=6.8716 b=9.2730 c=7.2698 alpha=90.00 beta=112.27 gamma=90.00
With the nearest neighbours (Å) after each atom.
Space group C2/c (No. 15)
Asymmetric unit:
Pm  0.0000  0.1724  0.2500 [4 per cell]  1 O 2.21
Sc  0.0000  0.5000  0.0000 [4 per cell]  6 O 2.00-2.20
Ge  0.0000  0.1745  0.7500 [4 per cell]  4 O 1.78
O  0.0000  0.4109  0.2500 [4 per cell]  2 Sc 2.00, 1 Pm 2.21
O  0.1151  0.2841  0.6170 [8 per cell]  1 Ge 1.78
O  0.1733  0.0549  0.9279 [8 per cell]  1 Ge 1.78